Computed, not measured: crystalline ZnSn2Sb at its relaxed geometry at the GGA-PBE level of DFT.

Unit cell a=7.4351 b=7.4351 c=7.4351 alpha=90.00 beta=90.00 gamma=90.00
With the nearest neighbours (Å) after each atom.
Space group Fm-3m (No. 225)
Symmetry-distinct sites (fractional):
Zn (0.0000, 0.0000, 0.0000) x4  8 Sn 3.22
Sn (0.2500, 0.2500, 0.2500) x8  4 Zn 3.22, 4 Sb 3.22
Sb (0.0000, 0.0000, 0.5000) x4  8 Sn 3.22

Summary:
Distance to the lowest polymorph of the same formula   0.38 eV/f.u.
Density   6.86 g cm⁻³
Formation energy from raw total energies   0.177 eV/atom
Total magnetization   0.00 μB per formula unit



Computed, not measured: crystalline Li2TcSnC at its relaxed geometry at the GGA-PBE level of DFT.

Unit cell a=4.9194 b=4.9194 c=5.0897 alpha=90.00 beta=90.00 gamma=90.00
With the nearest neighbours (Å) after each atom.
Space group P4/mmm (No. 123)
Symmetry-distinct sites (fractional):
Li (0.0000, 0.5000, 0.0000) x2  2 Sn 2.46
Tc (0.0000, 0.0000, 0.5000) x1  2 Sn 2.54
Sn (0.0000, 0.0000, 0.0000) x1  4 Li 2.46, 2 Tc 2.54
C (0.5000, 0.5000, 0.5000) x1  4 Tc 3.48, 8 Li 3.54

Summary:
ΔE_f   1982.1 meV per atom
Density   3.27 g cm⁻³
Total magnetization   2.88 μB per formula unit



Computed, not measured: crystalline Tl3Bi2Pb at its relaxed geometry at the GGA-PBE level of DFT.

Unit cell a=18.1882 b=5.0616 c=10.6310 alpha=90.00 beta=116.63 gamma=90.00
With the nearest neighbours (Å) after each atom.
Space group C2/m (No. 12)
Symmetry-distinct sites (fractional):
Tl (0.0206, 0.0000, 0.1777) x4  3 Bi 3.30-3.40, 5 Tl 3.51-3.69
Tl (0.1218, 0.5000, 0.0608) x4  4 Bi 3.39-3.70, 5 Tl 3.61-3.69, 1 Pb 3.71
Tl (0.2054, 0.0000, 0.5933) x4  4 Bi 3.28-3.42, 1 Tl 3.61
Bi (0.1042, 0.5000, 0.3943) x4  2 Pb 3.22-3.28, 5 Tl 3.28-3.41
Bi (0.1814, 0.0000, 0.8943) x4  2 Pb 3.26, 5 Tl 3.39-3.53, 2 Bi 3.56
Pb (0.0892, 0.5000, 0.6903) x4  4 Bi 3.22-3.28

Summary:
ΔE_f   8.3 meV per atom
Distance to the lowest polymorph of the same formula   0.03 eV/f.u.
Density   9.40 g cm⁻³
Total magnetization   0.00 μB per formula unit



Computed, not measured: crystalline TlMoPdAu2 at its relaxed geometry at the GGA-PBE level of DFT.

Unit cell a=5.1467 b=5.1467 c=5.3165 alpha=90.00 beta=90.00 gamma=90.00
With the nearest neighbours (Å) after each atom.
Space group P4/mmm (No. 123)
Symmetry-distinct sites (fractional):
Tl (0.0000, 0.0000, 0.0000) x1  4 Au 2.57, 2 Mo 2.66
Mo (0.0000, 0.0000, 0.5000) x1  2 Tl 2.66
Pd (0.5000, 0.5000, 0.5000) x1  4 Mo 3.64, 8 Au 3.70
Au (0.0000, 0.5000, 0.0000) x2  2 Tl 2.57

Summary:
ΔE_f   1606.8 meV per atom
Density   9.44 g cm⁻³
Total magnetization   3.73 μB per formula unit



Computed, not measured: crystalline CdIn2As at its relaxed geometry at the GGA-PBE level of DFT.

Unit cell a=3.1817 b=3.1817 c=33.1979 alpha=90.00 beta=90.00 gamma=120.00
With the nearest neighbours (Å) after each atom.
Space group R-3m (No. 166, hexagonal axes)
Symmetry-distinct sites (fractional):
Cd (0.0000, 0.0000, 0.0000) x3  6 Cd 3.18, 6 In 3.48
In (0.0000, 0.0000, 0.2444) x6  3 As 3.17, 6 In 3.18, 3 Cd 3.48
As (0.0000, 0.0000, 0.5000) x3  6 In 3.17, 6 As 3.18

Summary:
ΔE_f   146.8 meV per atom
Distance to the lowest polymorph of the same formula   0.57 eV/f.u.
Density   7.14 g cm⁻³
Total magnetization   0.00 μB per formula unit



Computed, not measured: crystalline ScCr2H4 at its relaxed geometry at the GGA-PBE level of DFT.

Unit cell a=3.7296 b=3.7296 c=10.3686 alpha=90.00 beta=90.00 gamma=90.00
With the nearest neighbours (Å) after each atom.
Space group I4/mmm (No. 139)
Symmetry-distinct sites (fractional):
Sc (0.0000, 0.0000, 0.0000) x2  6 H 1.86-1.94
Cr (0.0000, 0.0000, 0.3543) x4  1 H 1.73
H (0.0000, 0.0000, 0.1873) x4  1 Cr 1.73
H (0.0000, 0.5000, 0.0000) x4  2 Sc 1.86

Summary:
Density   3.52 g cm⁻³
Total DFT energy (no corrections)   -5.2707 eV per atom
Total magnetization   8.02 μB per formula unit